Compound: ZrNbCo
Source: the Alexandria database
Functional: PBE
Structure: optimized geometry

a = 3.287 Å, b = 4.605 Å, c = 13.426 Å
α = 90.00°, β = 90.00°, γ = 90.00°
Space group Amm2 (No. 38)
Asymmetric unit:
Zr1 0.000 0.000 0.000 x2
Zr2 0.000 0.000 0.322 x2
Nb1 0.000 0.000 0.671 x2
Nb2 0.500 0.000 0.506 x2
Co1 0.500 0.000 0.167 x2
Co2 0.500 0.000 0.824 x2

Output
relative energy among the computed polymorphs	149.6	meV/atom
calculated total energy	-8.6268	eV/atom
energy relative to the elements	-0.0522	eV/atom



Compound: ZrNbCo
Source: the Alexandria database
Functional: PBE
Structure: optimized geometry

a = 3.126 Å, b = 3.126 Å, c = 10.567 Å
α = 90.00°, β = 90.00°, γ = 90.00°
Space group I4mm (No. 107)
Asymmetric unit:
Zr1 0.000 0.000 0.000 x2
Nb1 0.000 0.000 0.697 x2
Co1 0.000 0.000 0.328 x2

Output
relative energy among the computed polymorphs	108.8	meV/atom
calculated total energy	-8.6676	eV/atom
energy relative to the elements	-0.0930	eV/atom



Compound: Zr2NbCo
Source: the Alexandria database
Functional: PBE
Structure: optimized geometry

a = 6.611 Å, b = 6.611 Å, c = 6.611 Å
α = 90.00°, β = 90.00°, γ = 90.00°
Space group Fm-3m (No. 225)
Asymmetric unit:
Zr1 0.250 0.250 0.250 x8
Nb1 0.000 0.000 0.000 x4
Co1 0.000 0.000 0.500 x4

Output
relative energy among the computed polymorphs	110.9	meV/atom
calculated total energy	-8.5510	eV/atom
energy relative to the elements	0.0169	eV/atom



Compound: Zr2NbCo
Source: the Alexandria database
Functional: PBE
Structure: optimized geometry

a = 7.370 Å, b = 7.370 Å, c = 5.671 Å
α = 90.00°, β = 90.00°, γ = 90.00°
Space group I-42d (No. 122)
Asymmetric unit:
Zr1 0.207 0.250 0.125 x8
Nb1 0.000 0.000 0.500 x4
Co1 0.000 0.000 0.000 x4

Output
relative energy among the computed polymorphs	368.3	meV/atom
calculated total energy	-8.2937	eV/atom
energy relative to the elements	0.2743	eV/atom



Compound: Zr6NbCo2
Source: the Alexandria database
Functional: PBE
Structure: optimized geometry

a = 8.447 Å, b = 9.005 Å, c = 9.376 Å
α = 90.00°, β = 90.00°, γ = 90.00°
Space group Immm (No. 71)
Asymmetric unit:
Zr1 0.000 0.201 0.229 x8
Zr2 0.199 0.311 0.500 x8
Zr3 0.205 0.500 0.175 x8
Nb1 0.000 0.000 0.000 x2
Nb2 0.000 0.000 0.500 x2
Co1 0.000 0.352 0.000 x4
Co2 0.000 0.500 0.369 x4

Output
calculated total energy	-8.5272	eV/atom
energy relative to the elements	-0.1305	eV/atom



Compound: ZrNbCo2
Source: the Alexandria database
Functional: PBE
Structure: optimized geometry

a = 4.435 Å, b = 4.435 Å, c = 3.150 Å
α = 90.00°, β = 90.00°, γ = 90.00°
Space group P4/mmm (No. 123)
Asymmetric unit:
Zr1 0.000 0.000 0.000 x1
Nb1 0.500 0.500 0.000 x1
Co1 0.000 0.500 0.500 x2

Output
relative energy among the computed polymorphs	123.9	meV/atom
calculated total energy	-8.3354	eV/atom
energy relative to the elements	-0.1280	eV/atom



Compound: ZrNbCo10
Source: the Alexandria database
Functional: PBE
Structure: optimized geometry

a = 3.976 Å, b = 4.704 Å, c = 8.147 Å
α = 90.00°, β = 90.00°, γ = 90.00°
Space group Pmmm (No. 47)
Asymmetric unit:
Zr1 0.000 0.000 0.000 x1
Nb1 0.000 0.500 0.500 x1
Co1 0.000 0.000 0.338 x2
Co2 0.000 0.500 0.172 x2
Co3 0.500 0.000 0.500 x1
Co4 0.500 0.253 0.254 x4
Co5 0.500 0.500 0.000 x1

Output
calculated total energy	-7.4960	eV/atom
energy relative to the elements	-0.0230	eV/atom



Compound: Zr2NbCo
Source: the Alexandria database
Functional: PBE
Structure: optimized geometry

a = 3.243 Å, b = 3.243 Å, c = 6.988 Å
α = 90.00°, β = 90.00°, γ = 90.00°
Space group P4/mmm (No. 123)
Asymmetric unit:
Zr1 0.000 0.000 0.225 x2
Nb1 0.500 0.500 0.500 x1
Co1 0.500 0.500 0.000 x1

Output
relative energy among the computed polymorphs	0.0	meV/atom
calculated total energy	-8.6619	eV/atom
energy relative to the elements	-0.0940	eV/atom



Compound: Zr3NbCo8
Source: the Alexandria database
Functional: PBE
Structure: optimized geometry

a = 4.8545 Å, b = 4.8545 Å, c = 23.8132 Å
α = 90.00°, β = 90.00°, γ = 120.00°
Space group R3m (No. 160, hexagonal axes)
Asymmetric unit:
Zr1 0.0000 0.0000 0.0000 x3
Zr2 0.0000 0.0000 0.1262 x3
Zr3 0.0000 0.0000 0.6224 x3
Nb1 0.0000 0.0000 0.4988 x3
Co1 0.0000 0.0000 0.3120 x3
Co2 0.0000 0.0000 0.8120 x3
Co3 0.0008 0.5004 0.0631 x9
Co4 0.1674 0.3348 0.8943 x9

Output
calculated total energy	-7.9785	eV/atom
energy relative to the elements	-0.2651	eV/atom



Compound: ZrNbCo2
Source: the Alexandria database
Functional: PBE
Structure: optimized geometry

a = 6.283 Å, b = 6.283 Å, c = 6.283 Å
α = 90.00°, β = 90.00°, γ = 90.00°
Space group Fm-3m (No. 225)
Asymmetric unit:
Zr1 0.000 0.000 0.000 x4
Nb1 0.000 0.000 0.500 x4
Co1 0.250 0.250 0.250 x8

Output
relative energy among the computed polymorphs	124.8	meV/atom
calculated total energy	-8.3344	eV/atom
energy relative to the elements	-0.1270	eV/atom



Compound: ZrNbCo3
Source: the Alexandria database
Functional: PBE
Structure: optimized geometry

a = 4.422 Å, b = 4.422 Å, c = 4.422 Å
α = 90.00°, β = 90.00°, γ = 90.00°
Space group Pm-3m (No. 221)
Asymmetric unit:
Zr1 0.000 0.000 0.000 x1
Nb1 0.500 0.500 0.500 x1
Co1 0.000 0.500 0.500 x3

Output
relative energy among the computed polymorphs	0.0	meV/atom
calculated total energy	-7.1418	eV/atom
energy relative to the elements	0.8453	eV/atom



Compound: ZrNbCo
Source: the Alexandria database
Functional: PBE
Structure: optimized geometry

a = 5.045 Å, b = 8.936 Å, c = 17.984 Å
α = 90.00°, β = 90.00°, γ = 90.00°
Space group Fddd (No. 70, origin choice 2)
Asymmetric unit:
Zr1 0.125 0.292 0.125 x16
Nb1 0.125 0.125 0.544 x16
Co1 0.125 0.125 0.001 x16

Output
relative energy among the computed polymorphs	11.0	meV/atom
calculated total energy	-8.7655	eV/atom
energy relative to the elements	-0.1909	eV/atom



Compound: ZrNbCo
Source: the Alexandria database
Functional: PBE
Structure: optimized geometry

a = 10.321 Å, b = 4.227 Å, c = 4.818 Å
α = 90.00°, β = 97.68°, γ = 90.00°
Space group C2/m (No. 12)
Asymmetric unit:
Zr1 0.116 0.000 0.289 x4
Nb1 0.085 0.500 0.767 x4
Co1 0.224 0.000 0.826 x4

Output
relative energy among the computed polymorphs	100.2	meV/atom
calculated total energy	-8.6762	eV/atom
energy relative to the elements	-0.1016	eV/atom



Compound: ZrNbCo
Source: the Alexandria database
Functional: PBE
Structure: optimized geometry

a = 5.200 Å, b = 8.806 Å, c = 8.843 Å
α = 90.00°, β = 90.00°, γ = 90.00°
Space group Fmmm (No. 69)
Asymmetric unit:
Zr1 0.000 0.165 0.000 x8
Nb1 0.000 0.000 0.338 x8
Co1 0.250 0.250 0.250 x8

Output
relative energy among the computed polymorphs	0.0	meV/atom
calculated total energy	-8.7764	eV/atom
energy relative to the elements	-0.2019	eV/atom



Compound: ZrNbCo2
Source: the Alexandria database
Functional: PBE
Structure: optimized geometry

a = 6.821 Å, b = 6.821 Å, c = 5.532 Å
α = 90.00°, β = 90.00°, γ = 90.00°
Space group I-42d (No. 122)
Asymmetric unit:
Zr1 0.000 0.000 0.000 x4
Nb1 0.000 0.000 0.500 x4
Co1 0.232 0.250 0.625 x8

Output
relative energy among the computed polymorphs	498.1	meV/atom
calculated total energy	-7.9611	eV/atom
energy relative to the elements	0.2463	eV/atom



Compound: ZrNbCo
Source: the Alexandria database
Functional: PBE
Structure: optimized geometry

a = 10.521 Å, b = 3.326 Å, c = 6.074 Å
α = 90.00°, β = 90.28°, γ = 90.00°
Space group Cm (No. 8)
Asymmetric unit:
Zr1 0.000 0.000 0.000 x2
Zr2 0.209 0.500 0.737 x2
Nb1 0.208 0.500 0.243 x2
Nb2 0.412 0.000 0.478 x2
Co1 0.086 0.000 0.480 x2
Co2 0.314 0.000 0.004 x2

Output
relative energy among the computed polymorphs	130.1	meV/atom
calculated total energy	-8.6464	eV/atom
energy relative to the elements	-0.0718	eV/atom



Compound: Zr2NbCo
Source: the Alexandria database
Functional: PBE
Structure: optimized geometry

a = 4.653 Å, b = 4.653 Å, c = 3.369 Å
α = 90.00°, β = 90.00°, γ = 90.00°
Space group P4/mmm (No. 123)
Asymmetric unit:
Zr1 0.000 0.500 0.000 x2
Nb1 0.000 0.000 0.500 x1
Co1 0.500 0.500 0.500 x1

Output
relative energy among the computed polymorphs	82.1	meV/atom
calculated total energy	-8.5799	eV/atom
energy relative to the elements	-0.0119	eV/atom



Compound: ZrNbCo2
Source: the Alexandria database
Functional: PBE
Structure: optimized geometry

a = 5.103 Å, b = 3.979 Å, c = 6.403 Å
α = 90.00°, β = 108.02°, γ = 90.00°
Space group P2_1/m (No. 11)
Asymmetric unit:
Zr1 0.220 0.250 0.428 x2
Nb1 0.217 0.250 0.931 x2
Co1 0.317 0.750 0.182 x2
Co2 0.330 0.750 0.730 x2

Output
relative energy among the computed polymorphs	0.0	meV/atom
calculated total energy	-8.4593	eV/atom
energy relative to the elements	-0.2519	eV/atom



Compound: Zr2NbCo
Source: the Alexandria database
Functional: PBE
Structure: optimized geometry

a = 2.9239 Å, b = 2.9239 Å, c = 31.0680 Å
α = 90.00°, β = 90.00°, γ = 120.00°
Space group R-3m (No. 166, hexagonal axes)
Asymmetric unit:
Zr1 0.0000 0.0000 0.0785 x6
Nb1 0.0000 0.0000 0.5000 x3
Co1 0.0000 0.0000 0.0000 x3

Output
relative energy among the computed polymorphs	571.1	meV/atom
calculated total energy	-8.0909	eV/atom
energy relative to the elements	0.4771	eV/atom



Compound: ZrNbCo
Source: the Alexandria database
Functional: PBE
Structure: optimized geometry

a = 5.371 Å, b = 5.399 Å, c = 7.100 Å
α = 90.00°, β = 90.00°, γ = 90.00°
Space group Imma (No. 74)
Asymmetric unit:
Zr1 0.000 0.250 0.116 x4
Nb1 0.000 0.000 0.500 x4
Co1 0.250 0.250 0.750 x4

Output
relative energy among the computed polymorphs	44.8	meV/atom
calculated total energy	-8.7316	eV/atom
energy relative to the elements	-0.1570	eV/atom



Compound: ZrNbCo
Source: the Alexandria database
Functional: PBE
Structure: optimized geometry

a = 10.206 Å, b = 3.177 Å, c = 7.765 Å
α = 90.00°, β = 124.30°, γ = 90.00°
Space group Cm (No. 8)
Asymmetric unit:
Zr1 0.000 0.000 0.000 x2
Zr2 0.245 0.500 0.432 x2
Nb1 0.097 0.500 0.727 x2
Nb2 0.325 0.000 0.134 x2
Co1 0.013 0.000 0.414 x2
Co2 0.296 0.000 0.727 x2

Output
relative energy among the computed polymorphs	79.3	meV/atom
calculated total energy	-8.6972	eV/atom
energy relative to the elements	-0.1226	eV/atom



Compound: ZrNbCo
Source: the Alexandria database
Functional: PBE
Structure: optimized geometry

a = 5.720 Å, b = 12.417 Å, c = 6.135 Å
α = 90.00°, β = 90.00°, γ = 90.00°
Space group Cmce (No. 64)
Asymmetric unit:
Zr1 0.000 0.191 0.071 x8
Nb1 0.250 0.023 0.750 x8
Co1 0.000 0.112 0.465 x8

Output
relative energy among the computed polymorphs	159.7	meV/atom
calculated total energy	-8.6168	eV/atom
energy relative to the elements	-0.0422	eV/atom



Compound: ZrNbCo
Source: the Alexandria database
Functional: PBE
Structure: optimized geometry

a = 5.195 Å, b = 6.274 Å, c = 6.225 Å
α = 90.00°, β = 90.00°, γ = 90.00°
Space group Ima2 (No. 46)
Asymmetric unit:
Zr1 0.250 0.161 0.000 x4
Nb1 0.250 0.667 0.827 x4
Co1 0.000 0.000 0.656 x4

Output
relative energy among the computed polymorphs	10.7	meV/atom
calculated total energy	-8.7657	eV/atom
energy relative to the elements	-0.1911	eV/atom